The following is a DFT calculation (PBE-GGA) of crystalline Ce6PuIr at its relaxed geometry.

Cell: 5.943 6.098 6.294 Å, 89.15 78.39 67.58°
Element x y z (fractional)
Ce 0.027 0.351 0.293
Ce 0.311 0.999 0.715
Ce 0.324 0.755 0.168
Ce 0.676 0.245 0.832
Ce 0.689 0.001 0.285
Ce 0.973 0.649 0.707
Pu 0.000 0.000 0.500
Ir 0.500 0.500 0.500

Values from the calculation:
* final energy: -59.6 eV for the cell shown
* polymorph energy (0 for the lowest one): 0.911 eV per formula unit
* DFT formation energy: -0.82 eV per formula unit